[1]
Nd5ScIn4: optimized geometry, PBE.

Summary:
DFT total energy, eV/atom: -4.3136
Energy relative to the elements, eV per atom: -0.20

Unit cell a=3.8988 b=8.9145 c=9.1674 alpha=80.76 beta=102.28 gamma=90.00
Fractional coordinates of all 10 atoms:
Nd (0.7957, 0.6332, 0.5915)
Nd (0.8724, 0.2255, 0.7449)
Nd (0.1276, 0.7745, 0.2551)
Nd (0.5000, 0.5000, 0.0000)
Nd (0.2043, 0.3668, 0.4085)
Sc (0.5000, 0.0000, 0.0000)
In (0.3161, 0.9518, 0.6321)
In (0.9425, 0.7929, 0.8850)
In (0.6839, 0.0482, 0.3679)
In (0.0575, 0.2071, 0.1150)

***

[2]
Nd3ScIn4: optimized geometry, PBE.

Summary:
DFT total energy, eV/atom: -4.4245
Energy relative to the elements, eV per atom: -0.48

Unit cell a=3.7470 b=3.7470 c=15.6318 alpha=90.00 beta=90.00 gamma=90.00
Fractional coordinates of all 8 atoms:
Sc (0.5000, 0.5000, 0.0000)
Nd (0.5000, 0.5000, 0.2375)
Nd (0.5000, 0.5000, 0.5000)
Nd (0.5000, 0.5000, 0.7625)
In (0.0000, 0.0000, 0.8951)
In (0.0000, 0.0000, 0.1049)
In (0.0000, 0.0000, 0.3685)
In (0.0000, 0.0000, 0.6315)

***

[3]
NdScIn3: optimized geometry, PBE.

Summary:
DFT total energy, eV/atom: -4.1581
Energy relative to the elements, eV per atom: -0.30

Unit cell a=6.2865 b=7.1127 c=7.1127 alpha=120.00 beta=90.00 gamma=90.00
Fractional coordinates of all 10 atoms:
Nd (0.2500, 0.3335, 0.6665)
Nd (0.7500, 0.6665, 0.3335)
Sc (0.0000, 0.0000, 0.0000)
Sc (0.5000, 0.0000, 0.0000)
In (0.2500, 0.8027, 0.1973)
In (0.7500, 0.1973, 0.8027)
In (0.2500, 0.8026, 0.6055)
In (0.7500, 0.1974, 0.3945)
In (0.2500, 0.3945, 0.1974)
In (0.7500, 0.6055, 0.8026)

***

[4]
Nd3ScIn12: optimized geometry, PBE.

Summary:
DFT total energy, eV/atom: -3.7656
Energy relative to the elements, eV per atom: -0.42

Unit cell a=4.6696 b=4.6696 c=18.7276 alpha=90.00 beta=90.00 gamma=90.00
Fractional coordinates of all 16 atoms:
Nd (0.0000, 0.0000, 0.2441)
Nd (0.0000, 0.0000, 0.5000)
Nd (0.0000, 0.0000, 0.7559)
Sc (0.0000, 0.0000, 0.0000)
In (0.5000, 0.5000, 0.0000)
In (0.5000, 0.5000, 0.2468)
In (0.5000, 0.5000, 0.5000)
In (0.5000, 0.5000, 0.7532)
In (0.5000, 0.0000, 0.1168)
In (0.5000, 0.0000, 0.3723)
In (0.5000, 0.0000, 0.6277)
In (0.5000, 0.0000, 0.8832)
In (0.0000, 0.5000, 0.1168)
In (0.0000, 0.5000, 0.3723)
In (0.0000, 0.5000, 0.6277)
In (0.0000, 0.5000, 0.8832)

***

[5]
Nd8Sc2In: optimized geometry, PBE.

Summary:
DFT total energy, eV/atom: -4.9213
Energy relative to the elements, eV per atom: -0.05

Unit cell a=5.0036 b=8.0265 c=9.3741 alpha=105.51 beta=105.48 gamma=90.00
Fractional coordinates of all 11 atoms:
Nd (0.4058, 0.5532, 0.8115)
Nd (0.6802, 0.9104, 0.3603)
Nd (0.8612, 0.8136, 0.7224)
Nd (0.9532, 0.2716, 0.9063)
Nd (0.1388, 0.1864, 0.2776)
Nd (0.3198, 0.0896, 0.6397)
Nd (0.5942, 0.4468, 0.1885)
Nd (0.0468, 0.7284, 0.0937)
Sc (0.7743, 0.3703, 0.5487)
Sc (0.2257, 0.6297, 0.4513)
In (0.5000, 0.0000, 0.0000)

***

[6]
NdSc3In4: optimized geometry, PBE.

Summary:
DFT total energy, eV/atom: -4.7604
Energy relative to the elements, eV per atom: -0.42

Unit cell a=5.4022 b=6.8909 c=10.3876 alpha=90.00 beta=90.00 gamma=90.00
Fractional coordinates of all 16 atoms:
Sc (0.0000, 0.0000, 0.0000)
Sc (0.0000, 0.0000, 0.5000)
Sc (0.6209, 0.0000, 0.7500)
Sc (0.3791, 0.0000, 0.2500)
Sc (0.5897, 0.5000, 0.7500)
Sc (0.4103, 0.5000, 0.2500)
Nd (0.0000, 0.5000, 0.0000)
Nd (0.0000, 0.5000, 0.5000)
In (0.5000, 0.7674, 0.0000)
In (0.5000, 0.7674, 0.5000)
In (0.5000, 0.2326, 0.0000)
In (0.5000, 0.2326, 0.5000)
In (0.1161, 0.7670, 0.7500)
In (0.8839, 0.7670, 0.2500)
In (0.8839, 0.2330, 0.2500)
In (0.1161, 0.2330, 0.7500)

***

[7]
NdSmSc2In4: optimized geometry, PBE.

Summary:
DFT total energy, eV/atom: -4.5713
Energy relative to the elements, eV per atom: -0.43

Unit cell a=5.2528 b=5.2528 c=9.1121 alpha=73.25 beta=73.25 gamma=60.00
Fractional coordinates of all 8 atoms:
Nd (0.0000, 0.0000, 0.0000)
Sm (0.5000, 0.5000, 0.5000)
Sc (0.7500, 0.7500, 0.7499)
Sc (0.2500, 0.2500, 0.2501)
In (0.3756, 0.3756, 0.8732)
In (0.8743, 0.8743, 0.3770)
In (0.1257, 0.1257, 0.6230)
In (0.6244, 0.6244, 0.1268)

***

[8]
NdSmScIn: optimized geometry, PBE.

Summary:
DFT total energy, eV/atom: -4.8057
Energy relative to the elements, eV per atom: -0.17

Unit cell a=5.4531 b=5.4531 c=5.4531 alpha=60.00 beta=60.00 gamma=60.00
Site moments in Bohr magnetons follow the coordinates.
Fractional coordinates of all 4 atoms:
Sc (0.7500, 0.7500, 0.7500)  0.40
Nd (0.5000, 0.5000, 0.5000)  0.15
Sm (0.0000, 0.0000, 0.0000)  0.16
In (0.2500, 0.2500, 0.2500)  -0.01

***

[9]
NdSmScIn: optimized geometry, PBE.

Summary:
DFT total energy, eV/atom: -4.8614
Energy relative to the elements, eV per atom: -0.22

Unit cell a=4.7943 b=4.7943 c=9.7209 alpha=90.00 beta=90.00 gamma=90.00
Site moments in Bohr magnetons follow the coordinates.
Fractional coordinates of all 8 atoms:
Nd (0.5000, 0.5000, 0.0000)  0.03
Nd (0.0000, 0.0000, 0.0000)  0.03
Sm (0.0000, 0.5000, 0.7409)  0.15
Sm (0.5000, 0.0000, 0.2591)  0.15
Sc (0.0000, 0.0000, 0.5000)  0.34
Sc (0.5000, 0.5000, 0.5000)  0.34
In (0.5000, 0.0000, 0.7223)  -0.01
In (0.0000, 0.5000, 0.2777)  -0.01

***

[10]
TbNdScIn: optimized geometry, PBE.

Summary:
DFT total energy, eV/atom: -4.7825
Energy relative to the elements, eV per atom: -0.17

Unit cell a=5.4179 b=5.4179 c=5.4179 alpha=60.00 beta=60.00 gamma=60.00
Site moments in Bohr magnetons follow the coordinates.
Fractional coordinates of all 4 atoms:
Sc (0.5000, 0.5000, 0.5000)  0.40
Nd (0.7500, 0.7500, 0.7500)  0.14
Tb (0.2500, 0.2500, 0.2500)  0.23
In (0.0000, 0.0000, 0.0000)  -0.01

***

[11]
TbNdScIn: optimized geometry, PBE.

Summary:
DFT total energy, eV/atom: -4.7108
Energy relative to the elements, eV per atom: -0.09

Unit cell a=5.3800 b=5.3800 c=5.3802 alpha=120.00 beta=120.00 gamma=90.00
Site moments in Bohr magnetons follow the coordinates.
Fractional coordinates of all 4 atoms:
Tb (0.7500, 0.2500, 0.5000)  0.29
Nd (0.0000, 0.0000, 0.0000)  0.42
Sc (0.2500, 0.7500, 0.5000)  0.38
In (0.5000, 0.5000, 0.0000)  -0.01

***

[12]
Nd2ScIn3Te6: optimized geometry, PBE.

Summary:
DFT total energy, eV/atom: -4.5128
Formation energy without anion corrections, kJ/mol of formula units: -1083

Unit cell a=7.6761 b=7.6761 c=8.4579 alpha=98.72 beta=98.72 gamma=119.92
Fractional coordinates of all 12 atoms:
Nd (0.3341, 0.6659, 0.0000)
Nd (0.6659, 0.3341, 0.0000)
Sc (0.0000, 0.0000, 0.0000)
In (0.1718, 0.8282, 0.5000)
In (0.8282, 0.1718, 0.5000)
In (0.5000, 0.5000, 0.5000)
Te (0.9272, 0.6124, 0.7810)
Te (0.7600, 0.7600, 0.2249)
Te (0.0728, 0.3876, 0.2190)
Te (0.6124, 0.9272, 0.7810)
Te (0.2400, 0.2400, 0.7751)
Te (0.3876, 0.0728, 0.2190)